Entry A
TbLu3: optimized geometry, GGA-PBE.

Summary:
Mass density   9.6 g/cm3
Crystal system   cubic

Cell lengths 4.9170, 4.9170, 4.9170 Å; angles 90.00, 90.00, 90.00 degrees
Fractional coordinates of all 4 atoms:
1 Tb 0.0000 0.0000 0.0000
2 Lu 0.0000 0.5000 0.5000
3 Lu 0.5000 0.0000 0.5000
4 Lu 0.5000 0.5000 0.0000

=====

Entry B
TbLu3: optimized geometry, GGA-PBE.

Summary:
Mass density   9.5 g/cm3
Crystal system   orthorhombic

Cell lengths 6.5555, 6.5555, 6.5555 Å; angles 148.59, 65.45, 124.19 degrees
Fractional coordinates of all 4 atoms:
1 Tb 0.0000 0.0000 0.0000
2 Lu 0.4156 0.6644 0.7511
3 Lu 0.4976 0.9976 0.5000
4 Lu 0.9133 0.6644 0.2489

=====

Entry C
TbLu3: optimized geometry, GGA-PBE.

Summary:
Mass density   9.4 g/cm3
Crystal system   cubic

Cell lengths 5.5504, 5.5504, 5.5504 Å; angles 60.00, 60.00, 60.00 degrees
Fractional coordinates of all 4 atoms:
1 Tb 0.0000 0.0000 0.0000
2 Lu 0.2500 0.2500 0.2500
3 Lu 0.5000 0.5000 0.5000
4 Lu 0.7500 0.7500 0.7500

=====

Which is most stable? The ranking, best first, is entry B, entry A, entry C.